## Tb5Pm8Cd (GGA-PBE)

Data for an optimized crystal structure of Tb5Pm8Cd.

Computed properties:
**ΔH_f (0 K)**: 0.20 eV per atom
**Size of the total moment**: 0.0 μB per formula unit

Cell lengths 9.7425, 9.7425, 10.0646 Å; angles 90.00, 90.00, 90.00 degrees
Space group I-4 (No. 82)
Unique sites:
Tb 0.0000 0.0000 0.0000 (multiplicity 2)
Tb 0.0994 0.7960 0.5808 (multiplicity 8)
Pm 0.0661 0.6694 0.9137 (multiplicity 8)
Pm 0.0877 0.8116 0.2469 (multiplicity 8)
Cd 0.0000 0.5000 0.2500 (multiplicity 2)